Entry from OQMD: an optimized crystal structure of ZnS (GGA-PBE).

Lattice parameters (Å, degrees): 3.8166 3.8157 38.4250 90.00 89.95 119.99
Sites, in units of the cell vectors:
S1 0.0005 0.0002 0.0652
S2 0.3335 0.6667 0.1470
S3 0.6668 0.3334 0.2289
S4 0.0000 0.0000 0.3107
S5 0.3333 0.6667 0.3926
S6 0.6667 0.3333 0.4744
S7 0.0000 0.0000 0.5559
S8 0.3333 0.6667 0.6371
S9 0.6666 0.3333 0.7182
S10 0.9995 0.9997 0.7993
S11 0.6618 0.3309 0.9271
S12 0.3361 0.6681 0.9826
Zn1 0.0010 0.0005 0.0034
Zn2 0.3336 0.6668 0.0857
Zn3 0.6667 0.3334 0.1676
Zn4 0.0000 0.0000 0.2494
Zn5 0.3333 0.6666 0.3313
Zn6 0.6666 0.3333 0.4132
Zn7 0.0000 0.0000 0.4947
Zn8 0.3333 0.6666 0.5760
Zn9 0.6666 0.3333 0.6573
Zn10 0.9998 0.0000 0.7384
Zn11 0.3325 0.6663 0.8238
Zn12 0.6685 0.3343 0.8705

As for the symmetry: Cm. The value obtained for the final energy is -3.296 eV/atom.